A relaxed structure of HfTaC3, computed with PBE.

```
HfTaC3
1.0
4.0956 0.0000 0.0000
0.0000 4.0956 0.0000
0.0000 0.0000 4.0956
Hf Ta C
1 1 3
Direct
0.0000 0.0000 0.0000
0.5000 0.5000 0.5000
0.0000 0.0000 0.5000
0.0000 0.5000 0.0000
0.5000 0.0000 0.0000
```

Output
- energy relative to the elements (kJ/mol of atoms) = 191.8
- magnetization (Bohr magnetons per cell) = 0.0
- space-group type = Pm-3m, No. 221